PBE CaOs2, optimized geometry; Fermi-level density of states = 2.66 states/eV per cell; symmetry = Immm, No. 71; DFT formation energy = 348 meV per atom; magnetization = 0.0 μB per cell; crystal system = orthorhombic
1.0
-1.4068 1.9485 5.3702
1.4068 -1.9485 5.3702
1.4068 1.9485 -5.3702
Ca Os
1 2
direct
0.0000 0.0000 0.0000
0.2898 0.2898 0.0000
0.7102 0.7102 0.0000

PBE CaNd7Ho12, optimized geometry; Fermi-level density of states = 29.24 states/eV per cell; symmetry = Im-3m, No. 229; DFT formation energy = 619 meV per atom; magnetization = 0.0 μB per cell; crystal system = cubic
1.0
-5.6718 5.6718 5.6718
5.6718 -5.6718 5.6718
5.6718 5.6718 -5.6718
Ca Nd Ho
1 7 12
direct
0.0000 0.0000 0.0000
0.0000 0.0000 0.5000
0.0000 0.5000 0.0000
0.0000 0.5000 0.5000
0.5000 0.0000 0.0000
0.5000 0.0000 0.5000
0.5000 0.5000 0.0000
0.5000 0.5000 0.5000
0.0000 0.2544 0.7456
0.0000 0.7456 0.2544
0.2544 0.0000 0.7456
0.2544 0.2544 0.5088
0.2544 0.5088 0.2544
0.2544 0.7456 0.0000
0.4912 0.7456 0.7456
0.5088 0.2544 0.2544
0.7456 0.0000 0.2544
0.7456 0.2544 0.0000
0.7456 0.4912 0.7456
0.7456 0.7456 0.4912

PBE CsTcI2Cl, optimized geometry; formation energy from raw total energies = 667 meV per atom; Fermi-level density of states = 2.50 states/eV per cell; symmetry = P4/mmm, No. 123; magnetization = 5.6 μB per cell; crystal system = tetragonal
1.0
6.2357 0.0000 0.0000
0.0000 6.2357 0.0000
0.0000 0.0000 6.1852
Cs Tc I Cl
1 1 2 1
direct
0.0000 0.0000 0.0000
0.5000 0.5000 0.0000
0.0000 0.5000 0.5000
0.5000 0.0000 0.5000
0.0000 0.0000 0.5000

Repeat the second record exactly.
PBE CaNd7Ho12, optimized geometry; Fermi-level density of states = 29.24 states/eV per cell; symmetry = Im-3m, No. 229; DFT formation energy = 619 meV per atom; magnetization = 0.0 μB per cell; crystal system = cubic
1.0
-5.6718 5.6718 5.6718
5.6718 -5.6718 5.6718
5.6718 5.6718 -5.6718
Ca Nd Ho
1 7 12
direct
0.0000 0.0000 0.0000
0.0000 0.0000 0.5000
0.0000 0.5000 0.0000
0.0000 0.5000 0.5000
0.5000 0.0000 0.0000
0.5000 0.0000 0.5000
0.5000 0.5000 0.0000
0.5000 0.5000 0.5000
0.0000 0.2544 0.7456
0.0000 0.7456 0.2544
0.2544 0.0000 0.7456
0.2544 0.2544 0.5088
0.2544 0.5088 0.2544
0.2544 0.7456 0.0000
0.4912 0.7456 0.7456
0.5088 0.2544 0.2544
0.7456 0.0000 0.2544
0.7456 0.2544 0.0000
0.7456 0.4912 0.7456
0.7456 0.7456 0.4912

Question: Which of these has the highest magnetization?
Answer: CsTcI2Cl

What did the second record say?
PBE CaNd7Ho12, optimized geometry; Fermi-level density of states = 29.24 states/eV per cell; symmetry = Im-3m, No. 229; DFT formation energy = 619 meV per atom; magnetization = 0.0 μB per cell; crystal system = cubic
1.0
-5.6718 5.6718 5.6718
5.6718 -5.6718 5.6718
5.6718 5.6718 -5.6718
Ca Nd Ho
1 7 12
direct
0.0000 0.0000 0.0000
0.0000 0.0000 0.5000
0.0000 0.5000 0.0000
0.0000 0.5000 0.5000
0.5000 0.0000 0.0000
0.5000 0.0000 0.5000
0.5000 0.5000 0.0000
0.5000 0.5000 0.5000
0.0000 0.2544 0.7456
0.0000 0.7456 0.2544
0.2544 0.0000 0.7456
0.2544 0.2544 0.5088
0.2544 0.5088 0.2544
0.2544 0.7456 0.0000
0.4912 0.7456 0.7456
0.5088 0.2544 0.2544
0.7456 0.0000 0.2544
0.7456 0.2544 0.0000
0.7456 0.4912 0.7456
0.7456 0.7456 0.4912

Question: Look up the magnetization of the first one.
Answer: 0.0 μB per cell